# Ga2SnP

A geometry-optimized Ga2SnP structure (PBE-GGA, the Alexandria database).

POSCAR file:
```
Ga2SnP
1.0
-4.8488 -1.2463 3.2057
2.2844 -5.3091 1.3912
1.1832 -1.0086 6.9096
Ga P Sn
4 2 2
direct
0.1668 0.6250 0.2500
0.8750 0.8332 0.7500
0.5832 0.1250 0.2500
0.3750 0.4168 0.7500
0.2500 0.7500 0.5000
0.5000 0.5000 0.0000
0.0000 0.0000 0.0000
0.7500 0.2500 0.5000
```

Values from the calculation:
final energy	-3.933	eV/atom
E_form	-0.26	eV per formula unit
density of states at the Fermi level	1.26	states/eV/f.u.
energy above the lowest structure with this stoichiometry	0.000	eV/atom
V	101	Å³/f.u.

---

# GaSnTe2P

A geometry-optimized GaSnTe2P structure (PBE-GGA, the Alexandria database).

POSCAR file:
```
GaSnTe2P
1.0
5.4454 0.0000 0.0000
0.0000 5.1515 0.0000
0.0000 0.0000 5.4454
Te Ga Sn P
2 1 1 1
direct
0.0000 0.0000 0.5000
0.5000 0.0000 0.0000
0.5000 0.5000 0.5000
0.0000 0.5000 0.0000
0.0000 0.0000 0.0000
```

Values from the calculation:
formation energy from raw total energies	338	meV/atom
final energy	-3.406	eV/atom
density of states at the Fermi level	2.12	states/eV/f.u.
V	153	Å³/f.u.